[1]
Entry from Alexandria: a relaxed structure of NaPbI2 (PBE-GGA).

Values from the calculation:
The density comes out at 3.8 g/cm³. Its formation energy (no corrections) is -0.43 eV per atom.

POSCAR file:
```
NaPbI2
1.0
5.1031 0.0000 0.0000
-2.5516 4.4194 0.0000
0.0000 0.0000 27.8105
Na Pb I
3 3 6
direct
0.0000 0.0000 0.0000
0.3333 0.6667 0.6667
0.6667 0.3333 0.3333
0.0000 0.0000 0.5000
0.3333 0.6667 0.1667
0.6667 0.3333 0.8333
0.0000 0.0000 0.1080
0.0000 0.0000 0.8920
0.3333 0.6667 0.5586
0.3333 0.6667 0.7747
0.6667 0.3333 0.2253
0.6667 0.3333 0.4414
```



[2]
Entry from Alexandria: a relaxed structure of Na3Pb5I12 (PBE-GGA).

Values from the calculation:
The density comes out at 4.5 g/cm³. Its formation energy (no corrections) is -0.64 eV per atom.

POSCAR file:
```
Na3Pb5I12
1.0
-9.8814 9.8814 9.8814
9.8814 -9.8814 9.8814
9.8814 9.8814 -9.8814
Na Pb I
12 20 48
direct
0.1250 0.2500 0.3750
0.1250 0.3750 0.7500
0.2500 0.3750 0.1250
0.2500 0.8750 0.6250
0.3750 0.1250 0.2500
0.3750 0.7500 0.1250
0.6250 0.2500 0.8750
0.6250 0.8750 0.7500
0.7500 0.1250 0.3750
0.7500 0.6250 0.8750
0.8750 0.6250 0.2500
0.8750 0.7500 0.6250
0.0000 0.0000 0.0000
0.0000 0.0000 0.5000
0.0000 0.5000 0.0000
0.0000 0.5000 0.5000
0.1250 0.7500 0.8750
0.1250 0.8750 0.2500
0.2500 0.1250 0.8750
0.2500 0.6250 0.3750
0.3750 0.2500 0.6250
0.3750 0.6250 0.7500
0.5000 0.0000 0.0000
0.5000 0.0000 0.5000
0.5000 0.5000 0.0000
0.5000 0.5000 0.5000
0.6250 0.3750 0.2500
0.6250 0.7500 0.3750
0.7500 0.3750 0.6250
0.7500 0.8750 0.1250
0.8750 0.1250 0.7500
0.8750 0.2500 0.1250
0.0457 0.2178 0.1269
0.0457 0.3279 0.9188
0.0812 0.6269 0.4091
0.0812 0.9543 0.6721
0.0909 0.7178 0.6721
0.0909 0.8731 0.4188
0.1269 0.0457 0.2178
0.1269 0.5812 0.9091
0.1721 0.2178 0.5909
0.1721 0.4543 0.5812
0.2178 0.1269 0.0457
0.2178 0.5909 0.1721
0.2822 0.3279 0.9091
0.2822 0.4543 0.3731
0.3279 0.9091 0.2822
0.3279 0.9188 0.0457
0.3731 0.2822 0.4543
0.3731 0.5909 0.9188
0.4091 0.0812 0.6269
0.4091 0.8279 0.7822
0.4188 0.0909 0.8731
0.4188 0.8279 0.5457
0.4543 0.3731 0.2822
0.4543 0.5812 0.1721
0.5457 0.4188 0.8279
0.5457 0.6269 0.7178
0.5812 0.1721 0.4543
0.5812 0.9091 0.1269
0.5909 0.1721 0.2178
0.5909 0.9188 0.3731
0.6269 0.4091 0.0812
0.6269 0.7178 0.5457
0.6721 0.0812 0.9543
0.6721 0.0909 0.7178
0.7178 0.5457 0.6269
0.7178 0.6721 0.0909
0.7822 0.4091 0.8279
0.7822 0.8731 0.9543
0.8279 0.5457 0.4188
0.8279 0.7822 0.4091
0.8731 0.4188 0.0909
0.8731 0.9543 0.7822
0.9091 0.1269 0.5812
0.9091 0.2822 0.3279
0.9188 0.0457 0.3279
0.9188 0.3731 0.5909
0.9543 0.6721 0.0812
0.9543 0.7822 0.8731
```



[3]
Entry from Alexandria: a relaxed structure of Na2Pb5I12 (PBE-GGA).

Values from the calculation:
The density comes out at 5.0 g/cm³. Its formation energy (no corrections) is -0.71 eV per atom.

POSCAR file:
```
Na2Pb5I12
1.0
8.5741 -4.5867 0.0000
8.5741 4.5867 0.0000
-4.1584 0.0000 10.9555
Na Pb I
2 5 12
direct
0.2435 0.7565 0.0000
0.7565 0.2435 0.0000
0.1627 0.1627 0.3597
0.2519 0.2519 0.0060
0.5000 0.5000 0.5000
0.7481 0.7481 0.9940
0.8373 0.8373 0.6403
0.0227 0.0227 0.8165
0.0556 0.5598 0.8505
0.1247 0.6042 0.4902
0.3958 0.8753 0.5098
0.4373 0.4373 0.1825
0.4402 0.9444 0.1495
0.5598 0.0556 0.8505
0.5627 0.5627 0.8175
0.6042 0.1247 0.4902
0.8753 0.3958 0.5098
0.9444 0.4402 0.1495
0.9773 0.9773 0.1835
```



[4]
Entry from Alexandria: a relaxed structure of NaPbI2 (PBE-GGA).

Values from the calculation:
The density comes out at 4.2 g/cm³. Its formation energy (no corrections) is -0.51 eV per atom.

POSCAR file:
```
NaPbI2
1.0
6.4382 0.0000 0.0000
0.0000 6.4382 0.0000
0.0000 0.0000 18.2628
Na Pb I
4 4 8
direct
0.0000 0.0000 0.0000
0.0000 0.5000 0.2500
0.5000 0.0000 0.7500
0.5000 0.5000 0.5000
0.0000 0.0000 0.5000
0.0000 0.5000 0.7500
0.5000 0.0000 0.2500
0.5000 0.5000 0.0000
0.2390 0.2500 0.1250
0.2500 0.7390 0.3750
0.2500 0.7610 0.8750
0.2610 0.2500 0.6250
0.7390 0.7500 0.6250
0.7500 0.2390 0.8750
0.7500 0.2610 0.3750
0.7610 0.7500 0.1250
```



[5]
Entry from Alexandria: a relaxed structure of Na2Pb3I8 (PBE-GGA).

Values from the calculation:
The density comes out at 4.8 g/cm³. Its formation energy (no corrections) is -0.82 eV per atom.

POSCAR file:
```
Na2Pb3I8
1.0
7.7022 -4.6465 0.0000
7.7022 4.6465 0.0000
-0.8751 0.0000 8.1223
Na Pb I
2 3 8
direct
0.2193 0.2193 0.0641
0.7807 0.7807 0.9359
0.2490 0.7510 0.5000
0.5000 0.5000 0.0000
0.7510 0.2490 0.5000
0.1224 0.1224 0.3813
0.1351 0.6112 0.1487
0.3776 0.3776 0.6508
0.3888 0.8649 0.8513
0.6112 0.1351 0.1487
0.6224 0.6224 0.3492
0.8649 0.3888 0.8513
0.8776 0.8776 0.6187
```



[6]
Entry from Alexandria: a relaxed structure of Na4PbI6 (PBE-GGA).

Values from the calculation:
The density comes out at 4.1 g/cm³. Its formation energy (no corrections) is -1.08 eV per atom.

POSCAR file:
```
Na4PbI6
1.0
6.5901 -4.6209 0.0000
6.5901 4.6209 0.0000
-6.5410 0.0000 13.9739
Na Pb I
8 2 12
direct
0.1244 0.8756 0.5000
0.3731 0.6229 0.9957
0.5381 0.7872 0.3258
0.6229 0.3731 0.4957
0.7084 0.9587 0.6670
0.7872 0.5381 0.8258
0.8756 0.1244 0.0000
0.9587 0.7084 0.1670
0.2064 0.4561 0.6626
0.4561 0.2064 0.1626
0.0313 0.7800 0.8302
0.1195 0.3792 0.0037
0.2117 0.9537 0.1584
0.2992 0.5486 0.3301
0.3792 0.1195 0.5037
0.4539 0.6972 0.6583
0.5486 0.2992 0.8301
0.6351 0.8742 0.0041
0.6972 0.4539 0.1583
0.7800 0.0313 0.3302
0.8742 0.6351 0.5041
0.9537 0.2117 0.6584
```



[7]
Entry from Alexandria: a relaxed structure of NaPbI3 (PBE-GGA).

Values from the calculation:
The density comes out at 4.8 g/cm³. Its formation energy (no corrections) is -0.87 eV per atom.

POSCAR file:
```
NaPbI3
1.0
8.0837 0.0000 0.0000
0.0000 4.6744 0.0000
-2.1989 0.0000 11.2920
Na Pb I
2 2 6
direct
0.2125 0.2500 0.4707
0.7875 0.7500 0.5293
0.3543 0.2500 0.8324
0.6457 0.7500 0.1676
0.0132 0.7500 0.3252
0.2572 0.7500 0.0017
0.4515 0.7500 0.6495
0.5485 0.2500 0.3505
0.7428 0.2500 0.9983
0.9868 0.2500 0.6748
```



[8]
Entry from Alexandria: a relaxed structure of NaPbI3 (PBE-GGA).

Values from the calculation:
The density comes out at 4.0 g/cm³. Its formation energy (no corrections) is -0.67 eV per atom.

POSCAR file:
```
NaPbI3
1.0
6.3311 0.0000 0.0000
0.0000 6.3311 0.0000
0.0000 0.0000 6.3311
Na Pb I
1 1 3
direct
0.0000 0.0000 0.0000
0.5000 0.5000 0.5000
0.0000 0.5000 0.5000
0.5000 0.0000 0.5000
0.5000 0.5000 0.0000
```



[9]
Entry from Alexandria: a relaxed structure of Na2PuPbI8 (PBE-GGA).

Values from the calculation:
The density comes out at 4.7 g/cm³. Its formation energy (no corrections) is -0.90 eV per atom.

POSCAR file:
```
Na2PuPbI8
1.0
7.3343 0.0000 0.0000
0.0000 9.4126 0.0000
-0.4947 0.0000 7.7143
Na Pu Pb I
2 1 1 8
direct
0.0000 0.2451 0.0000
0.0000 0.7549 0.0000
0.5000 0.5000 0.5000
0.5000 0.0000 0.5000
0.2383 0.0000 0.1578
0.2515 0.5000 0.1737
0.2696 0.2691 0.6497
0.2696 0.7309 0.6497
0.7304 0.2691 0.3503
0.7304 0.7309 0.3503
0.7485 0.5000 0.8263
0.7617 0.0000 0.8422
```



[10]
Entry from Alexandria: a relaxed structure of Rb3Na3PbI8 (PBE-GGA).

Values from the calculation:
The density comes out at 3.8 g/cm³. Its formation energy (no corrections) is -1.23 eV per atom.

POSCAR file:
```
Rb3Na3PbI8
1.0
4.8145 2.7796 8.4433
-4.8145 2.7796 8.4433
0.0000 -5.5593 8.4433
Rb Na Pb I
3 3 1 8
direct
0.0000 0.5000 0.5000
0.5000 0.0000 0.5000
0.5000 0.5000 0.0000
0.0000 0.0000 0.5000
0.0000 0.5000 0.0000
0.5000 0.0000 0.0000
0.5000 0.5000 0.5000
0.2381 0.2381 0.2381
0.2402 0.7357 0.7357
0.2643 0.2643 0.7598
0.2643 0.7598 0.2643
0.7357 0.2402 0.7357
0.7357 0.7357 0.2402
0.7598 0.2643 0.2643
0.7619 0.7619 0.7619
```



[11]
Entry from Alexandria: a relaxed structure of NaPbSI (PBE-GGA).

Values from the calculation:
The density comes out at 5.3 g/cm³. Its formation energy (no corrections) is -0.86 eV per atom.

POSCAR file:
```
NaPbSI
1.0
4.3138 0.0000 0.0000
-2.1569 3.7359 0.0000
0.0000 0.0000 22.7014
Na Pb S I
3 3 3 3
direct
0.0000 0.0000 0.0000
0.3333 0.6667 0.6667
0.6667 0.3333 0.3333
0.0000 0.0000 0.5305
0.3333 0.6667 0.1972
0.6667 0.3333 0.8638
0.0000 0.0000 0.2610
0.3333 0.6667 0.9277
0.6667 0.3333 0.5943
0.0000 0.0000 0.7574
0.3333 0.6667 0.4241
0.6667 0.3333 0.0907
```



[12]
Entry from Alexandria: a relaxed structure of NaPbSI2 (PBE-GGA).

Values from the calculation:
The density comes out at 4.2 g/cm³. Its formation energy (no corrections) is -0.39 eV per atom.

POSCAR file:
```
NaPbSI2
1.0
6.3593 0.0000 0.0000
0.0000 6.3593 0.0000
0.0000 0.0000 5.0932
Na Pb S I
1 1 1 2
direct
0.0000 0.0000 0.0000
0.5000 0.5000 0.5000
0.5000 0.5000 0.0000
0.0000 0.5000 0.5000
0.5000 0.0000 0.5000
```